A relaxed structure of HfBAu2. Source: Alexandria, functional PBE.

Output
total magnetic moment	0.0	μB per formula unit
energy of formation	398	meV/atom

Geometry as extended XYZ:
```
16
Lattice="4.851 0.000 0.000 0.000 4.851 0.000 0.000 0.000 13.425" Properties=species:S:1:pos:R:3 pbc="T T T"
Hf 0.000 0.000 0.000
Hf 0.000 2.425 3.356
Hf 2.425 0.000 10.069
Hf 2.425 2.425 6.712
B 0.000 0.000 6.712
B 0.000 2.425 10.069
B 2.425 0.000 3.356
B 2.425 2.425 0.000
Au 0.707 1.213 8.390
Au 1.213 3.133 11.747
Au 1.213 4.143 5.034
Au 1.718 1.213 1.678
Au 3.133 3.638 1.678
Au 3.638 0.707 5.034
Au 3.638 1.718 11.747
Au 4.143 3.638 8.390
```


A relaxed structure of PmZr2Cu9. Source: Alexandria, functional PBE.

Output
total magnetic moment	0.0	μB per formula unit
energy of formation	-137	meV/atom

Geometry as extended XYZ:
```
12
Lattice="2.554 1.475 8.168 -2.554 1.475 8.168 0.000 -2.949 8.168" Properties=species:S:1:pos:R:3 pbc="T T T"
Pm 0.000 0.000 0.000
Zr 0.000 0.000 3.759
Zr 0.000 0.000 20.746
Cu -1.273 -0.735 10.222
Cu 0.000 0.000 8.138
Cu 0.000 -1.470 14.282
Cu -1.273 0.735 14.282
Cu 0.000 0.000 12.252
Cu 1.273 -0.735 10.222
Cu 0.000 1.470 10.222
Cu 0.000 0.000 16.366
Cu 1.273 0.735 14.282
```


A relaxed structure of RbHgBi2Rh. Source: Alexandria, functional PBE.

Output
total magnetic moment	0.0	μB per formula unit
energy of formation	-7	meV/atom

Geometry as extended XYZ:
```
5
Lattice="5.420 0.000 0.000 0.000 5.420 0.000 0.000 0.000 5.475" Properties=species:S:1:pos:R:3 pbc="T T T"
Rb 0.000 0.000 0.000
Hg 2.710 2.710 0.000
Bi 0.000 2.710 2.737
Bi 2.710 0.000 2.737
Rh 2.710 2.710 2.737
```


A relaxed structure of LaPm3Bi. Source: Alexandria, functional PBE.

Output
total magnetic moment	0.0	μB per formula unit
energy of formation	-286	meV/atom

Geometry as extended XYZ:
```
20
Lattice="11.214 0.000 0.000 0.000 4.092 0.000 0.000 0.000 15.121" Properties=species:S:1:pos:R:3 pbc="T T T"
La 1.823 1.023 0.020
La 3.785 3.069 7.580
La 7.430 1.023 7.541
La 9.392 3.069 15.101
Pm 0.727 1.023 6.278
Pm 0.792 3.069 3.155
Pm 2.049 3.069 11.976
Pm 3.558 1.023 4.416
Pm 4.815 1.023 10.715
Pm 4.880 3.069 13.839
Pm 6.334 1.023 1.282
Pm 6.399 3.069 4.406
Pm 7.656 3.069 10.705
Pm 9.165 1.023 3.145
Pm 10.422 1.023 11.966
Pm 10.488 3.069 8.843
Bi 1.762 1.023 9.424
Bi 3.845 3.069 1.864
Bi 7.369 1.023 13.257
Bi 9.452 3.069 5.696
```


A relaxed structure of LaCoI2. Source: Alexandria, functional PBE.

Output
raw formation energy	-0.1048	eV per atom
total magnetic moment	2.0	μB per formula unit
excess energy over the best structure of this formula in the dataset	21.4	meV per atom

Geometry as extended XYZ:
```
16
Lattice="7.680 0.000 0.000 0.000 7.680 0.000 0.000 0.000 7.680" Properties=species:S:1:pos:R:3 pbc="T T T"
La 0.000 0.000 0.000
La 0.000 3.840 3.840
La 3.840 0.000 3.840
La 3.840 3.840 0.000
Co 0.000 0.000 3.840
Co 0.000 3.840 0.000
Co 3.840 0.000 0.000
Co 3.840 3.840 3.840
I 1.920 1.920 1.920
I 1.920 1.920 5.760
I 1.920 5.760 1.920
I 1.920 5.760 5.760
I 5.760 1.920 1.920
I 5.760 1.920 5.760
I 5.760 5.760 1.920
I 5.760 5.760 5.760
```


A relaxed structure of HoTmZnGa. Source: Alexandria, functional PBE.

Output
total magnetic moment	0.0	μB per formula unit
energy of formation	-477	meV/atom

Geometry as extended XYZ:
```
16
Lattice="7.073 0.000 0.000 0.000 7.073 0.000 0.000 0.000 7.073" Properties=species:S:1:pos:R:3 pbc="T T T"
Ho 0.000 0.000 0.000
Ho 0.000 3.536 3.536
Ho 3.536 0.000 3.536
Ho 3.536 3.536 0.000
Tm 0.000 0.000 3.536
Tm 0.000 3.536 0.000
Tm 3.536 0.000 0.000
Tm 3.536 3.536 3.536
Zn 1.768 1.768 5.304
Zn 1.768 5.304 1.768
Zn 5.304 1.768 1.768
Zn 5.304 5.304 5.304
Ga 1.768 1.768 1.768
Ga 1.768 5.304 5.304
Ga 5.304 1.768 5.304
Ga 5.304 5.304 1.768
```


> Which formula does entry 3 have?

RbHgBi2Rh